DFT (PBE) results for a relaxed structure of SrAg2Ir.

a = 3.2289 Å, b = 4.5843 Å, c = 5.9931 Å
α = 90.00°, β = 105.48°, γ = 90.00°
With the nearest neighbours (Å) after each atom.
Positions (direct):
Sr: 0.0000 0.0000 0.0000  3 Ag 3.02-3.20, 4 Ir 3.04, 2 Sr 3.23
Ag: 0.2621 0.0000 0.5228  2 Ir 2.79, 4 Ag 2.94, 1 Sr 3.02
Ag: 0.6864 0.5000 0.3715  6 Ag 2.94-3.23, 2 Ir 2.94-2.95
Ir: 0.4002 0.5000 0.7973  4 Ag 2.79-2.95, 4 Sr 3.04

Results
Crystal system   monoclinic
Distance to the lowest polymorph of the same formula   173 meV per atom
ρ   9.63 g/cm3
Calculated formation energy   238 meV per atom